a) SiC3S | GGA-PBE | optimized geometry

Density of states at the Fermi level ... 2.50 states/eV/cell

```
data_SiC3S
_space_group_name_H-M_alt 'P m -3 m'
_space_group_IT_number 221
_space_group_name_Hall '-P 4 2 3'
_cell_length_a 3.5975
_cell_length_b 3.5975
_cell_length_c 3.5975
_cell_angle_alpha 90.00
_cell_angle_beta 90.00
_cell_angle_gamma 90.00
loop_
_atom_site_label
_atom_site_type_symbol
_atom_site_fract_x
_atom_site_fract_y
_atom_site_fract_z
Si1 Si 0.0000 0.0000 0.0000
C1 C 0.0000 0.5000 0.5000
S1 S 0.5000 0.5000 0.5000
```

=====

b) SiC3S | GGA-PBE | optimized geometry

Density of states at the Fermi level ... 3.41 states/eV/cell

```
data_SiC3S
_space_group_name_H-M_alt 'P m -3 m'
_space_group_IT_number 221
_space_group_name_Hall '-P 4 2 3'
_cell_length_a 3.8050
_cell_length_b 3.8050
_cell_length_c 3.8050
_cell_angle_alpha 90.00
_cell_angle_beta 90.00
_cell_angle_gamma 90.00
loop_
_atom_site_label
_atom_site_type_symbol
_atom_site_fract_x
_atom_site_fract_y
_atom_site_fract_z
Si1 Si 0.0000 0.0000 0.0000
C1 C 0.0000 0.0000 0.5000
S1 S 0.5000 0.5000 0.5000
```

=====

Which is the most stable structure? b) is the most stable.

=====

a) SnC3S | GGA-PBE | optimized geometry

Density of states at the Fermi level ... 4.13 states/eV/cell

```
data_SnC3S
_space_group_name_H-M_alt 'P m -3 m'
_space_group_IT_number 221
_space_group_name_Hall '-P 4 2 3'
_cell_length_a 4.3313
_cell_length_b 4.3313
_cell_length_c 4.3313
_cell_angle_alpha 90.00
_cell_angle_beta 90.00
_cell_angle_gamma 90.00
loop_
_atom_site_label
_atom_site_type_symbol
_atom_site_fract_x
_atom_site_fract_y
_atom_site_fract_z
Sn1 Sn 0.0000 0.0000 0.0000
C1 C 0.0000 0.0000 0.5000
S1 S 0.5000 0.5000 0.5000
```

=====

b) SnC3S | GGA-PBE | optimized geometry

Density of states at the Fermi level ... 2.67 states/eV/cell

```
data_SnC3S
_space_group_name_H-M_alt 'P m -3 m'
_space_group_IT_number 221
_space_group_name_Hall '-P 4 2 3'
_cell_length_a 3.7667
_cell_length_b 3.7667
_cell_length_c 3.7667
_cell_angle_alpha 90.00
_cell_angle_beta 90.00
_cell_angle_gamma 90.00
loop_
_atom_site_label
_atom_site_type_symbol
_atom_site_fract_x
_atom_site_fract_y
_atom_site_fract_z
Sn1 Sn 0.0000 0.0000 0.0000
C1 C 0.0000 0.5000 0.5000
S1 S 0.5000 0.5000 0.5000
```

=====

Which is the most stable structure? b) is the most stable.

=====

a) Sn2CS | GGA-PBE | optimized geometry

Density of states at the Fermi level ... 12.59 states/eV/cell

```
data_Sn2CS
_space_group_name_H-M_alt 'F m -3 m'
_space_group_IT_number 225
_space_group_name_Hall '-F 4 2 3'
_cell_length_a 6.6713
_cell_length_b 6.6713
_cell_length_c 6.6713
_cell_angle_alpha 90.00
_cell_angle_beta 90.00
_cell_angle_gamma 90.00
loop_
_atom_site_label
_atom_site_type_symbol
_atom_site_fract_x
_atom_site_fract_y
_atom_site_fract_z
Sn1 Sn 0.2500 0.2500 0.2500
C1 C 0.0000 0.0000 0.0000
S1 S 0.0000 0.0000 0.5000
```

=====

b) Sn2CS | GGA-PBE | optimized geometry

Density of states at the Fermi level ... 5.54 states/eV/cell

```
data_Sn2CS
_space_group_name_H-M_alt 'I -4 2 d'
_space_group_IT_number 122
_space_group_name_Hall 'I -4 2bw'
_cell_length_a 6.3928
_cell_length_b 6.3928
_cell_length_c 8.2308
_cell_angle_alpha 90.00
_cell_angle_beta 90.00
_cell_angle_gamma 90.00
loop_
_atom_site_label
_atom_site_type_symbol
_atom_site_fract_x
_atom_site_fract_y
_atom_site_fract_z
Sn1 Sn 0.1880 0.7500 0.1250
C1 C 0.0000 0.0000 0.0000
S1 S 0.0000 0.0000 0.5000
```

=====

Which is the most stable structure? b) is the most stable.

=====

a) Sr2CS2 | GGA-PBE | optimized geometry

Density of states at the Fermi level ... 3.28 states/eV/cell

```
data_Sr2CS2
_space_group_name_H-M_alt 'P 4/m b m'
_space_group_IT_number 127
_space_group_name_Hall '-P 4 2ab'
_cell_length_a 7.7278
_cell_length_b 7.7278
_cell_length_c 3.9459
_cell_angle_alpha 90.00
_cell_angle_beta 90.00
_cell_angle_gamma 90.00
loop_
_atom_site_label
_atom_site_type_symbol
_atom_site_fract_x
_atom_site_fract_y
_atom_site_fract_z
Sr1 Sr 0.1582 0.3418 0.0000
C1 C 0.0000 0.0000 0.5000
S1 S 0.1548 0.6548 0.5000
```

=====

b) Sr2CS2 | GGA-PBE | optimized geometry

Density of states at the Fermi level ... 0.00 states/eV/cell

```
data_Sr2CS2
_space_group_name_H-M_alt 'I 4/m m m'
_space_group_IT_number 139
_space_group_name_Hall '-I 4 2'
_cell_length_a 5.7629
_cell_length_b 5.7629
_cell_length_c 8.9720
_cell_angle_alpha 90.00
_cell_angle_beta 90.00
_cell_angle_gamma 90.00
loop_
_atom_site_label
_atom_site_type_symbol
_atom_site_fract_x
_atom_site_fract_y
_atom_site_fract_z
Sr1 Sr 0.0000 0.5000 0.2500
C1 C 0.0000 0.0000 0.0000
S1 S 0.0000 0.0000 0.2790
```

=====

Which is the most stable structure? a) is the most stable.

=====

a) SrC3S | GGA-PBE | optimized geometry

Density of states at the Fermi level ... 5.65 states/eV/cell

```
data_SrC3S
_space_group_name_H-M_alt 'P m -3 m'
_space_group_IT_number 221
_space_group_name_Hall '-P 4 2 3'
_cell_length_a 5.2166
_cell_length_b 5.2166
_cell_length_c 5.2166
_cell_angle_alpha 90.00
_cell_angle_beta 90.00
_cell_angle_gamma 90.00
loop_
_atom_site_label
_atom_site_type_symbol
_atom_site_fract_x
_atom_site_fract_y
_atom_site_fract_z
Sr1 Sr 0.0000 0.0000 0.0000
C1 C 0.0000 0.0000 0.5000
S1 S 0.5000 0.5000 0.5000
```

=====

b) SrC3S | GGA-PBE | optimized geometry

Density of states at the Fermi level ... 3.56 states/eV/cell

```
data_SrC3S
_space_group_name_H-M_alt 'P m -3 m'
_space_group_IT_number 221
_space_group_name_Hall '-P 4 2 3'
_cell_length_a 3.9219
_cell_length_b 3.9219
_cell_length_c 3.9219
_cell_angle_alpha 90.00
_cell_angle_beta 90.00
_cell_angle_gamma 90.00
loop_
_atom_site_label
_atom_site_type_symbol
_atom_site_fract_x
_atom_site_fract_y
_atom_site_fract_z
Sr1 Sr 0.0000 0.0000 0.0000
C1 C 0.0000 0.5000 0.5000
S1 S 0.5000 0.5000 0.5000
```

=====

Which is the most stable structure? b) is the most stable.

=====

a) Sr2ZrCS | GGA-PBE | optimized geometry

Density of states at the Fermi level ... 4.65 states/eV/cell

```
data_Sr2ZrCS
_space_group_name_H-M_alt 'P 4/m m m'
_space_group_IT_number 123
_space_group_name_Hall '-P 4 2'
_cell_length_a 6.2750
_cell_length_b 6.2750
_cell_length_c 4.8164
_cell_angle_alpha 90.00
_cell_angle_beta 90.00
_cell_angle_gamma 90.00
loop_
_atom_site_label
_atom_site_type_symbol
_atom_site_fract_x
_atom_site_fract_y
_atom_site_fract_z
Sr1 Sr 0.0000 0.5000 0.0000
Zr1 Zr 0.0000 0.0000 0.0000
C1 C 0.5000 0.5000 0.5000
S1 S 0.0000 0.0000 0.5000
```

=====

b) Sr2ZrCS | GGA-PBE | optimized geometry

Density of states at the Fermi level ... 3.45 states/eV/cell

```
data_Sr2ZrCS
_space_group_name_H-M_alt 'P 4/m m m'
_space_group_IT_number 123
_space_group_name_Hall '-P 4 2'
_cell_length_a 5.5759
_cell_length_b 5.5759
_cell_length_c 4.8426
_cell_angle_alpha 90.00
_cell_angle_beta 90.00
_cell_angle_gamma 90.00
loop_
_atom_site_label
_atom_site_type_symbol
_atom_site_fract_x
_atom_site_fract_y
_atom_site_fract_z
Sr1 Sr 0.0000 0.5000 0.0000
Zr1 Zr 0.0000 0.0000 0.5000
C1 C 0.5000 0.5000 0.5000
S1 S 0.0000 0.0000 0.0000
```

=====

Which is the most stable structure? b) is the most stable.

=====

a) TeC3S | GGA-PBE | optimized geometry

Density of states at the Fermi level ... 4.30 states/eV/cell

```
data_TeC3S
_space_group_name_H-M_alt 'P m -3 m'
_space_group_IT_number 221
_space_group_name_Hall '-P 4 2 3'
_cell_length_a 4.2050
_cell_length_b 4.2050
_cell_length_c 4.2050
_cell_angle_alpha 90.00
_cell_angle_beta 90.00
_cell_angle_gamma 90.00
loop_
_atom_site_label
_atom_site_type_symbol
_atom_site_fract_x
_atom_site_fract_y
_atom_site_fract_z
Te1 Te 0.0000 0.0000 0.0000
C1 C 0.0000 0.0000 0.5000
S1 S 0.5000 0.5000 0.5000
```

=====

b) TeC3S | GGA-PBE | optimized geometry

Density of states at the Fermi level ... 2.72 states/eV/cell

```
data_TeC3S
_space_group_name_H-M_alt 'P m -3 m'
_space_group_IT_number 221
_space_group_name_Hall '-P 4 2 3'
_cell_length_a 3.7612
_cell_length_b 3.7612
_cell_length_c 3.7612
_cell_angle_alpha 90.00
_cell_angle_beta 90.00
_cell_angle_gamma 90.00
loop_
_atom_site_label
_atom_site_type_symbol
_atom_site_fract_x
_atom_site_fract_y
_atom_site_fract_z
Te1 Te 0.0000 0.0000 0.0000
C1 C 0.0000 0.5000 0.5000
S1 S 0.5000 0.5000 0.5000
```

=====

Which is the most stable structure? b) is the most stable.